# PBE-GGA ScCr2Co, optimized geometry
data_ScCr2Co
_space_group_name_H-M_alt 'P 4 m m'
_space_group_IT_number 99
_space_group_name_Hall 'P 4 -2'
_cell_length_a 3.004
_cell_length_b 3.004
_cell_length_c 6.119
_cell_angle_alpha 90.00
_cell_angle_beta 90.00
_cell_angle_gamma 90.00
loop_
_atom_site_label
_atom_site_type_symbol
_atom_site_fract_x
_atom_site_fract_y
_atom_site_fract_z
_atom_site_occupancy
Sc1 Sc 0.000 0.000 0.000 1
Cr1 Cr 0.000 0.000 0.497 1
Cr2 Cr 0.500 0.500 0.688 1
Co1 Co 0.500 0.500 0.251 1
# **Energy relative to the elements**: 0.43 eV/f.u.
# **Offset from the most stable computed form**: 0.004 eV/atom